# 1
## BeBi2Os (PBE)

Data for a relaxed BeBi2Os crystal.

POSCAR file:
```
BeBi2Os
1.0
-2.987 2.987 6.115
2.987 -2.987 6.115
2.987 2.987 -6.115
Be Bi Os
2 4 2
Direct
0.000 0.000 0.000
0.750 0.250 0.500
0.109 0.625 0.984
0.375 0.359 0.484
0.641 0.125 0.016
0.875 0.891 0.516
0.250 0.750 0.500
0.500 0.500 0.000
```

Values from the calculation:
Its energy relative to the elements is 990.2 meV per atom. As for the symmetry: I-42d, No. 122. Its spin magnetization is 0.0000 μB/atom. The total energy comes out at -0.172 Ha/atom.

=====

# 2
## BeBiOs2 (PBE)

Data for a relaxed BeBiOs2 crystal.

POSCAR file:
```
BeBiOs2
1.0
0.000 3.141 3.141
3.141 0.000 3.141
3.141 3.141 0.000
Be Bi Os
1 1 2
Direct
0.000 0.000 0.000
0.500 0.500 0.500
0.250 0.250 0.250
0.750 0.750 0.750
```

Values from the calculation:
Its energy relative to the elements is 801.0 meV per atom. As for the symmetry: Fm-3m, No. 225. Its spin magnetization is 0.0000 μB/atom. The total energy comes out at -0.247 Ha/atom.

=====

# 3
## BeBiOsS2 (PBE)

Data for a relaxed BeBiOsS2 crystal.

POSCAR file:
```
BeBiOsS2
1.0
4.241 0.000 0.000
0.000 4.241 0.000
0.000 0.000 4.930
Be Bi Os S
1 1 1 2
Direct
0.000 0.000 0.000
0.000 0.000 0.500
0.500 0.500 0.500
0.000 0.500 0.000
0.500 0.000 0.000
```

Values from the calculation:
As for the symmetry: P4/mmm, No. 123. Its spin magnetization is 0.0000 μB/atom. The total energy comes out at -0.158 Ha/atom.

=====

# 4
## BeBi2OsS (PBE)

Data for a relaxed BeBi2OsS crystal.

POSCAR file:
```
BeBi2OsS
1.0
5.173 0.000 0.000
0.000 5.173 0.000
0.000 0.000 4.107
Be Bi Os S
1 2 1 1
Direct
0.000 0.000 0.000
0.000 0.500 0.000
0.500 0.000 0.000
0.000 0.000 0.500
0.500 0.500 0.500
```

Values from the calculation:
As for the symmetry: P4/mmm, No. 123. Its spin magnetization is 0.1997 μB/atom. The total energy comes out at -0.162 Ha/atom.

=====

# 5
## Be2TlBiOs (PBE)

Data for a relaxed Be2TlBiOs crystal.

POSCAR file:
```
Be2TlBiOs
1.0
4.435 0.000 0.000
0.000 4.435 0.000
0.000 0.000 5.310
Be Tl Bi Os
2 1 1 1
Direct
0.000 0.500 0.000
0.500 0.000 0.000
0.000 0.000 0.000
0.500 0.500 0.500
0.000 0.000 0.500
```

Values from the calculation:
Its energy relative to the elements is 1551.0 meV per atom. As for the symmetry: P4/mmm, No. 123. Its spin magnetization is 0.0000 μB/atom. The total energy comes out at -0.126 Ha/atom.

=====

# 6
## BeTl2BiOs (PBE)

Data for a relaxed BeTl2BiOs crystal.

POSCAR file:
```
BeTl2BiOs
1.0
6.280 0.000 0.000
0.000 6.280 0.000
0.000 0.000 4.374
Be Tl Bi Os
1 2 1 1
Direct
0.000 0.000 0.000
0.000 0.500 0.500
0.500 0.000 0.500
0.000 0.000 0.500
0.500 0.500 0.000
```

Values from the calculation:
Its energy relative to the elements is 1846.3 meV per atom. As for the symmetry: P4/mmm, No. 123. Its spin magnetization is 0.5872 μB/atom. The total energy comes out at -0.105 Ha/atom.

=====

What is the spin magnetization in the fifth record? 0.0000 μB/atom

=====

Which of these has the highest spin magnetization? BeTl2BiOs